Record 1
Computed, not measured: a geometry-optimized PmGaNiPt structure at the PBE-GGA level of DFT.

Calculated values
For the total magnetization, the calculation gives 0.0 Bohr magnetons per cell. For the formation enthalpy at 0 K, the calculation gives -12.608 kcal/mol of atoms.

a = 6.6190 Å, b = 6.6190 Å, c = 6.6190 Å
α = 90.00°, β = 90.00°, γ = 90.00°
With the nearest neighbours (Å) after each atom.
Space group F-43m (No. 216)
Inequivalent atoms, fractional coordinates:
Pm: 0.0000 0.0000 0.0000 [4 per cell]  4 Ni 2.87, 4 Pt 2.87
Ga: 0.0000 0.0000 0.5000 [4 per cell]  4 Ni 2.87, 4 Pt 2.87
Ni: 0.2500 0.2500 0.2500 [4 per cell]  4 Pm 2.87, 4 Ga 2.87
Pt: 0.2500 0.2500 0.7500 [4 per cell]  4 Pm 2.87, 4 Ga 2.87



Record 2
Computed, not measured: a geometry-optimized Pm2Ga4Ni3Pt structure at the PBE-GGA level of DFT.

Calculated values
For the total magnetization, the calculation gives 0.0 Bohr magnetons per cell. For the formation enthalpy at 0 K, the calculation gives -15.387 kcal/mol of atoms.

a = 4.0702 Å, b = 4.0702 Å, c = 10.5262 Å
α = 90.00°, β = 90.00°, γ = 90.00°
With the nearest neighbours (Å) after each atom.
Space group P-4m2 (No. 115)
Inequivalent atoms, fractional coordinates:
Pm: 0.0000 0.5000 0.2396 [2 per cell]  6 Ni 3.09-3.41, 8 Ga 3.15-3.24, 2 Pt 3.41
Ga: 0.0000 0.0000 0.0000 [1 per cell]  4 Ni 2.46
Ga: 0.0000 0.5000 0.6395 [2 per cell]  3 Ni 2.41-2.51, 2 Pt 2.51
Ga: 0.5000 0.5000 0.0000 [1 per cell]  4 Ni 2.46
Ni: 0.0000 0.5000 0.8685 [2 per cell]  5 Ga 2.41-2.46
Ni: 0.5000 0.5000 0.5000 [1 per cell]  4 Ga 2.51
Pt: 0.0000 0.0000 0.5000 [1 per cell]  4 Ga 2.51



Record 3
Computed, not measured: a geometry-optimized PmGa4NiPt2 structure at the PBE-GGA level of DFT.

Calculated values
For the total magnetization, the calculation gives 0.0 Bohr magnetons per cell. For the formation enthalpy at 0 K, the calculation gives -15.266 kcal/mol of atoms.

a = 4.2684 Å, b = 4.2684 Å, c = 26.1474 Å
α = 90.00°, β = 90.00°, γ = 120.00°
With the nearest neighbours (Å) after each atom.
Space group R-3m (No. 166, hexagonal axes)
Inequivalent atoms, fractional coordinates:
Pm: 0.0000 0.0000 0.0000 [3 per cell]  6 Ga 3.04
Ga: 0.0000 0.0000 0.1352 [6 per cell]  3 Ni 2.60, 4 Pt 2.67-2.68
Ga: 0.0000 0.0000 0.4012 [6 per cell]  3 Pt 2.57, 1 Ni 2.58
Ni: 0.0000 0.0000 0.5000 [3 per cell]  8 Ga 2.58-2.60
Pt: 0.0000 0.0000 0.2375 [6 per cell]  7 Ga 2.57-2.68



Question: Which value of total magnetization does entry 1 give?
Answer: 0.0 Bohr magnetons per cell



Question: Which formula does entry 2 have?
Answer: Pm2Ga4Ni3Pt



Copy entry 1 word for word.
Computed, not measured: a geometry-optimized PmGaNiPt structure at the PBE-GGA level of DFT.

Calculated values
For the total magnetization, the calculation gives 0.0 Bohr magnetons per cell. For the formation enthalpy at 0 K, the calculation gives -12.608 kcal/mol of atoms.

a = 6.6190 Å, b = 6.6190 Å, c = 6.6190 Å
α = 90.00°, β = 90.00°, γ = 90.00°
With the nearest neighbours (Å) after each atom.
Space group F-43m (No. 216)
Inequivalent atoms, fractional coordinates:
Pm: 0.0000 0.0000 0.0000 [4 per cell]  4 Ni 2.87, 4 Pt 2.87
Ga: 0.0000 0.0000 0.5000 [4 per cell]  4 Ni 2.87, 4 Pt 2.87
Ni: 0.2500 0.2500 0.2500 [4 per cell]  4 Pm 2.87, 4 Ga 2.87
Pt: 0.2500 0.2500 0.7500 [4 per cell]  4 Pm 2.87, 4 Ga 2.87



Please write out number 3 again, unchanged.
Computed, not measured: a geometry-optimized PmGa4NiPt2 structure at the PBE-GGA level of DFT.

Calculated values
For the total magnetization, the calculation gives 0.0 Bohr magnetons per cell. For the formation enthalpy at 0 K, the calculation gives -15.266 kcal/mol of atoms.

a = 4.2684 Å, b = 4.2684 Å, c = 26.1474 Å
α = 90.00°, β = 90.00°, γ = 120.00°
With the nearest neighbours (Å) after each atom.
Space group R-3m (No. 166, hexagonal axes)
Inequivalent atoms, fractional coordinates:
Pm: 0.0000 0.0000 0.0000 [3 per cell]  6 Ga 3.04
Ga: 0.0000 0.0000 0.1352 [6 per cell]  3 Ni 2.60, 4 Pt 2.67-2.68
Ga: 0.0000 0.0000 0.4012 [6 per cell]  3 Pt 2.57, 1 Ni 2.58
Ni: 0.0000 0.0000 0.5000 [3 per cell]  8 Ga 2.58-2.60
Pt: 0.0000 0.0000 0.2375 [6 per cell]  7 Ga 2.57-2.68